(1)
{"formula": "Pm2NdHg8", "functional": "PBE", "state": "relaxed", "de_polymorph_mev_per_atom": 10.1, "ef_ev_per_fu": -3.79, "m_tot_mub_per_atom": 0.00, "n_ef_per_ev_atom": 0.56, "cell": [[-3.676, 0.804, -3.610], [-0.502, -7.358, -1.127], [-3.157, 2.833, 7.612]], "species": ["Hg", "Hg", "Hg", "Hg", "Hg", "Hg", "Hg", "Hg", "Pm", "Pm", "Nd"], "frac_coords": [[0.842, 0.843, 0.685], [0.000, 0.710, 0.000], [0.158, 0.157, 0.315], [0.352, 0.140, 0.703], [0.000, 0.290, 0.000], [0.352, 0.563, 0.703], [0.648, 0.437, 0.297], [0.648, 0.860, 0.297], [0.191, 0.692, 0.383], [0.809, 0.308, 0.617], [0.500, 0.000, 0.000]]}

***

(2)
{"formula": "PmNd3Hg3", "functional": "PBE", "state": "relaxed", "ef_ev_per_fu": -2.19, "m_tot_mub_per_atom": 0.19, "n_ef_per_ev_atom": 1.29, "cell": [[7.417, 1.755, 0.522], [-1.733, 7.422, 0.522], [-0.372, -0.600, 7.303]], "species": ["Nd", "Nd", "Nd", "Nd", "Nd", "Nd", "Hg", "Hg", "Hg", "Hg", "Hg", "Hg", "Pm", "Pm"], "frac_coords": [[0.740, 0.260, 0.000], [0.255, 0.255, 0.500], [0.745, 0.745, 0.500], [0.257, 0.743, 0.500], [0.743, 0.257, 0.500], [0.260, 0.740, 0.000], [0.500, 0.000, 0.248], [0.000, 0.000, 0.753], [0.000, 0.500, 0.248], [0.500, 0.000, 0.752], [0.000, 0.000, 0.247], [0.000, 0.500, 0.752], [0.746, 0.746, 0.000], [0.254, 0.254, 0.000]]}

***

(3)
{"formula": "Pm3NdHg", "functional": "PBE", "state": "relaxed", "de_polymorph_mev_per_atom": 0.0, "ef_ev_per_fu": -0.86, "m_tot_mub_per_atom": 0.00, "n_ef_per_ev_atom": 1.29, "cell": [[3.677, 0.000, -0.651], [-0.049, 5.686, -0.277], [0.786, 0.807, 15.159]], "species": ["Hg", "Hg", "Pm", "Pm", "Pm", "Pm", "Pm", "Pm", "Nd", "Nd"], "frac_coords": [[0.459, 0.228, 0.918], [0.541, 0.772, 0.082], [0.048, 0.264, 0.096], [0.342, 0.748, 0.683], [0.658, 0.252, 0.317], [0.127, 0.755, 0.255], [0.873, 0.245, 0.745], [0.952, 0.736, 0.904], [0.733, 0.751, 0.466], [0.267, 0.249, 0.534]]}

***

(4)
{"formula": "PmNd2Hg3", "functional": "PBE", "state": "relaxed", "ef_ev_per_fu": -2.84, "m_tot_mub_per_atom": 0.23, "n_ef_per_ev_atom": 1.13, "cell": [[-2.724, 2.921, 3.637], [1.436, -3.310, 7.744], [6.091, 4.625, 0.848]], "species": ["Nd", "Nd", "Nd", "Nd", "Hg", "Hg", "Hg", "Hg", "Hg", "Hg", "Pm", "Pm"], "frac_coords": [[0.666, 0.667, 0.500], [0.000, 0.000, 0.500], [0.334, 0.333, 0.500], [0.000, 0.000, 0.000], [0.167, 0.665, 0.247], [0.833, 0.335, 0.753], [0.167, 0.665, 0.753], [0.500, 0.000, 0.751], [0.833, 0.335, 0.247], [0.500, 0.000, 0.249], [0.667, 0.667, 0.000], [0.333, 0.333, 0.000]]}

***

(5)
{"formula": "Pm3NdHg3", "functional": "PBE", "state": "relaxed", "ef_ev_per_fu": -2.13, "m_tot_mub_per_atom": 0.00, "n_ef_per_ev_atom": 1.36, "cell": [[5.219, 0.000, 0.000], [0.000, 9.557, 0.000], [0.000, -4.779, 8.277]], "species": ["Pm", "Pm", "Pm", "Pm", "Pm", "Pm", "Hg", "Hg", "Hg", "Hg", "Hg", "Hg", "Nd", "Nd"], "frac_coords": [[0.250, 0.006, 0.759], [0.750, 0.247, 0.006], [0.750, 0.994, 0.241], [0.750, 0.759, 0.753], [0.250, 0.241, 0.247], [0.250, 0.753, 0.994], [0.750, 0.940, 0.552], [0.250, 0.387, 0.940], [0.250, 0.060, 0.448], [0.250, 0.552, 0.613], [0.750, 0.448, 0.387], [0.750, 0.613, 0.060], [0.750, 0.333, 0.667], [0.250, 0.667, 0.333]]}

***

(6)
{"formula": "Pm9Nd4Hg11", "functional": "PBE", "state": "relaxed", "ef_ev_per_fu": -9.21, "m_tot_mub_per_atom": 0.04, "n_ef_per_ev_atom": 1.14, "cell": [[-1.017, 2.145, 2.780], [-4.096, -11.313, 7.230], [13.469, 2.883, 2.703]], "species": ["Pm", "Pm", "Pm", "Pm", "Pm", "Pm", "Pm", "Pm", "Pm", "Hg", "Hg", "Hg", "Hg", "Hg", "Hg", "Hg", "Hg", "Hg", "Hg", "Hg", "Nd", "Nd", "Nd", "Nd"], "frac_coords": [[0.500, 0.795, 0.976], [0.500, 0.382, 0.851], [0.500, 0.149, 0.618], [0.500, 0.976, 0.795], [0.500, 0.618, 0.149], [0.500, 0.500, 0.500], [0.500, 0.024, 0.205], [0.500, 0.851, 0.382], [0.500, 0.205, 0.024], [0.000, 0.821, 0.179], [0.000, 0.000, 0.000], [0.000, 0.776, 0.776], [0.000, 0.367, 0.633], [0.000, 0.179, 0.821], [0.000, 0.052, 0.410], [0.000, 0.590, 0.948], [0.000, 0.410, 0.052], [0.000, 0.224, 0.224], [0.000, 0.948, 0.590], [0.000, 0.633, 0.367], [0.500, 0.573, 0.746], [0.500, 0.746, 0.573], [0.500, 0.254, 0.427], [0.500, 0.427, 0.254]]}